1.
A geometry-optimized AsRuPt2 structure. Source: the Alexandria database, functional PBEsol.

a b c (Å): 2.811 4.076 5.322
angles (deg): 90.00 102.32 90.00
Positions (direct):
1 As 0.000 0.000 0.000
2 Ru 0.000 0.000 0.500
3 Pt 0.391 0.500 0.247
4 Pt 0.609 0.500 0.753

Uncorrected energy = -28.68 eV/cell
E_form = 0.5 eV/f.u.
Volume = 14.893 A^3/atom


2.
A geometry-optimized FeTeAsN2 structure. Source: the Alexandria database, functional PBEsol.

a b c (Å): 3.672 3.672 6.343
angles (deg): 90.00 90.00 90.00
Positions (direct):
1 Fe 0.000 0.000 0.000
2 Te 0.500 0.500 0.000
3 As 0.500 0.500 0.500
4 N 0.000 0.500 0.500
5 N 0.500 0.000 0.500

Uncorrected energy = -27.68 eV/cell
Volume = 17.106 A^3/atom
Formation energy from raw total energies = 1.3933 eV/atom